1.
VASP calculation (PBE) on an optimized crystal structure of LiEr2ZrS4.

Geometry as CIF:
```
data_LiEr2ZrS4
_chemical_formula_sum 'Li1 Er2 Zr1 S4'
_space_group_name_H-M_alt 'P 1'
_space_group_IT_number 1
_cell_length_a 6.423
_cell_length_b 3.788
_cell_length_c 6.671
_cell_angle_alpha 90.00
_cell_angle_beta 109.28
_cell_angle_gamma 90.00
loop_
_space_group_symop_operation_xyz
'x,y,z'
loop_
_atom_site_label
_atom_site_type_symbol
_atom_site_fract_x
_atom_site_fract_y
_atom_site_fract_z
Li1 Li 0.000 0.000 0.000
Er1 Er 0.500 0.000 0.500
Er2 Er 0.500 0.500 0.000
Zr1 Zr 0.000 0.500 0.500
S1 S 0.239 0.000 0.753
S2 S 0.239 0.500 0.245
S3 S 0.761 0.000 0.247
S4 S 0.761 0.500 0.755
```

Summary:
Its crystal system is monoclinic. For the total magnetization, the calculation gives 0.00 μB per cell. The energy relative to the elements, uncorrected is -1.765 eV/atom. Its symmetry is No. 10.



2.
VASP calculation (PBE) on an optimized crystal structure of Li3Er3ZrS8.

Geometry as CIF:
```
data_Li3Er3ZrS8
_chemical_formula_sum 'Li3 Er3 Zr1 S8'
_space_group_name_H-M_alt 'P 1'
_space_group_IT_number 1
_cell_length_a 7.600
_cell_length_b 7.600
_cell_length_c 7.600
_cell_angle_alpha 60.93
_cell_angle_beta 60.93
_cell_angle_gamma 60.93
loop_
_space_group_symop_operation_xyz
'x,y,z'
loop_
_atom_site_label
_atom_site_type_symbol
_atom_site_fract_x
_atom_site_fract_y
_atom_site_fract_z
Li1 Li 0.000 0.500 0.500
Li2 Li 0.500 0.000 0.500
Li3 Li 0.500 0.500 0.000
Er1 Er 0.000 0.000 0.500
Er2 Er 0.000 0.500 0.000
Er3 Er 0.500 0.000 0.000
Zr1 Zr 0.500 0.500 0.500
S1 S 0.250 0.250 0.250
S2 S 0.260 0.260 0.739
S3 S 0.260 0.739 0.260
S4 S 0.261 0.740 0.740
S5 S 0.739 0.260 0.260
S6 S 0.740 0.261 0.740
S7 S 0.740 0.740 0.261
S8 S 0.750 0.750 0.750
```

Summary:
Its crystal system is trigonal. For the total magnetization, the calculation gives 0.00 μB per cell. The energy relative to the elements, uncorrected is -1.792 eV/atom. Its symmetry is No. 166.



3.
VASP calculation (PBE) on an optimized crystal structure of LiEr2ZrS6.

Geometry as CIF:
```
data_LiEr2ZrS6
_chemical_formula_sum 'Li1 Er2 Zr1 S6'
_space_group_name_H-M_alt 'P 1'
_space_group_IT_number 1
_cell_length_a 6.676
_cell_length_b 6.677
_cell_length_c 7.129
_cell_angle_alpha 62.14
_cell_angle_beta 62.16
_cell_angle_gamma 60.02
loop_
_space_group_symop_operation_xyz
'x,y,z'
loop_
_atom_site_label
_atom_site_type_symbol
_atom_site_fract_x
_atom_site_fract_y
_atom_site_fract_z
Li1 Li 0.000 0.000 0.000
Er1 Er 0.199 0.199 0.404
Er2 Er 0.705 0.704 0.887
Zr1 Zr 0.510 0.510 0.470
S1 S 0.131 0.402 0.693
S2 S 0.296 0.901 0.194
S3 S 0.403 0.774 0.693
S4 S 0.610 0.296 0.193
S5 S 0.776 0.130 0.693
S6 S 0.901 0.610 0.194
```

Summary:
Its crystal system is triclinic. For the total magnetization, the calculation gives 0.00 μB per cell. The energy relative to the elements, uncorrected is -1.566 eV/atom. Its symmetry is No. 1.



4.
VASP calculation (PBE) on an optimized crystal structure of Li2ErZr2S6.

Geometry as CIF:
```
data_Li2ErZr2S6
_chemical_formula_sum 'Li2 Er1 Zr2 S6'
_space_group_name_H-M_alt 'P 1'
_space_group_IT_number 1
_cell_length_a 6.466
_cell_length_b 6.466
_cell_length_c 6.581
_cell_angle_alpha 99.40
_cell_angle_beta 99.40
_cell_angle_gamma 120.28
loop_
_space_group_symop_operation_xyz
'x,y,z'
loop_
_atom_site_label
_atom_site_type_symbol
_atom_site_fract_x
_atom_site_fract_y
_atom_site_fract_z
Li1 Li 0.167 0.833 0.000
Li2 Li 0.833 0.167 0.000
Er1 Er 0.000 0.000 0.500
Zr1 Zr 0.335 0.665 0.500
Zr2 Zr 0.665 0.335 0.500
S1 S 0.078 0.425 0.744
S2 S 0.260 0.260 0.254
S3 S 0.425 0.078 0.744
S4 S 0.575 0.922 0.256
S5 S 0.740 0.740 0.746
S6 S 0.922 0.575 0.256
```

Summary:
Its crystal system is monoclinic. For the total magnetization, the calculation gives 0.00 μB per cell. The energy relative to the elements, uncorrected is -1.634 eV/atom. Its symmetry is No. 12.



5.
VASP calculation (PBE) on an optimized crystal structure of LiEr2ZrS5.

Geometry as CIF:
```
data_LiEr2ZrS5
_chemical_formula_sum 'Li2 Er4 Zr2 S10'
_space_group_name_H-M_alt 'P 1'
_space_group_IT_number 1
_cell_length_a 8.190
_cell_length_b 8.190
_cell_length_c 11.572
_cell_angle_alpha 90.00
_cell_angle_beta 90.00
_cell_angle_gamma 153.38
loop_
_space_group_symop_operation_xyz
'x,y,z'
loop_
_atom_site_label
_atom_site_type_symbol
_atom_site_fract_x
_atom_site_fract_y
_atom_site_fract_z
Li1 Li 0.012 0.988 0.500
Li2 Li 0.988 0.012 0.000
Er1 Er 0.369 0.631 0.321
Er2 Er 0.391 0.609 0.718
Er3 Er 0.609 0.391 0.218
Er4 Er 0.631 0.369 0.821
Zr1 Zr 0.305 0.695 0.032
Zr2 Zr 0.695 0.305 0.532
S1 S 0.004 0.996 0.805
S2 S 0.140 0.860 0.028
S3 S 0.191 0.809 0.374
S4 S 0.217 0.783 0.691
S5 S 0.451 0.549 0.095
S6 S 0.549 0.451 0.595
S7 S 0.783 0.217 0.191
S8 S 0.809 0.191 0.874
S9 S 0.860 0.140 0.528
S10 S 0.996 0.004 0.305
```

Summary:
Its crystal system is orthorhombic. For the total magnetization, the calculation gives 0.00 μB per cell. The energy relative to the elements, uncorrected is -1.716 eV/atom. Its symmetry is No. 36.



6.
VASP calculation (PBE) on an optimized crystal structure of LiErSb.

Geometry as CIF:
```
data_LiErSb
_chemical_formula_sum 'Li1 Er1 Sb1'
_space_group_name_H-M_alt 'P 1'
_space_group_IT_number 1
_cell_length_a 4.399
_cell_length_b 4.399
_cell_length_c 4.062
_cell_angle_alpha 90.00
_cell_angle_beta 90.00
_cell_angle_gamma 120.00
loop_
_space_group_symop_operation_xyz
'x,y,z'
loop_
_atom_site_label
_atom_site_type_symbol
_atom_site_fract_x
_atom_site_fract_y
_atom_site_fract_z
Li1 Li 0.000 0.000 0.000
Er1 Er 0.667 0.333 0.500
Sb1 Sb 0.333 0.667 0.000
```

Summary:
Its crystal system is hexagonal. The distance to the lowest polymorph of the same formula is 1.00 kcal/mol of atoms. For the total magnetization, the calculation gives 0.00 μB per cell. The energy relative to the elements, uncorrected is -0.731 eV/atom. Its symmetry is No. 187.



7.
VASP calculation (PBE) on an optimized crystal structure of LiEr2Sb.

Geometry as CIF:
```
data_LiEr2Sb
_chemical_formula_sum 'Li1 Er2 Sb1'
_space_group_name_H-M_alt 'P 1'
_space_group_IT_number 1
_cell_length_a 7.151
_cell_length_b 7.151
_cell_length_c 7.151
_cell_angle_alpha 34.80
_cell_angle_beta 34.80
_cell_angle_gamma 34.80
loop_
_space_group_symop_operation_xyz
'x,y,z'
loop_
_atom_site_label
_atom_site_type_symbol
_atom_site_fract_x
_atom_site_fract_y
_atom_site_fract_z
Li1 Li 0.000 0.000 0.000
Er1 Er 0.219 0.219 0.219
Er2 Er 0.423 0.423 0.423
Sb1 Sb 0.650 0.650 0.650
```

Summary:
Its crystal system is trigonal. The distance to the lowest polymorph of the same formula is 3.09 kcal/mol of atoms. For the total magnetization, the calculation gives 0.16 μB per cell. The energy relative to the elements, uncorrected is -0.357 eV/atom. Its symmetry is No. 160.



8.
VASP calculation (PBE) on an optimized crystal structure of LiErSb.

Geometry as CIF:
```
data_LiErSb
_chemical_formula_sum 'Li1 Er1 Sb1'
_space_group_name_H-M_alt 'P 1'
_space_group_IT_number 1
_cell_length_a 5.239
_cell_length_b 5.239
_cell_length_c 5.239
_cell_angle_alpha 134.01
_cell_angle_beta 134.01
_cell_angle_gamma 67.07
loop_
_space_group_symop_operation_xyz
'x,y,z'
loop_
_atom_site_label
_atom_site_type_symbol
_atom_site_fract_x
_atom_site_fract_y
_atom_site_fract_z
Li1 Li 0.000 0.000 0.000
Er1 Er 0.338 0.338 0.000
Sb1 Sb 0.689 0.689 0.000
```

Summary:
Its crystal system is tetragonal. The distance to the lowest polymorph of the same formula is 7.08 kcal/mol of atoms. For the total magnetization, the calculation gives 0.00 μB per cell. The energy relative to the elements, uncorrected is -0.468 eV/atom. Its symmetry is No. 107.



9.
VASP calculation (PBE) on an optimized crystal structure of LiEr3Sb2.

Geometry as CIF:
```
data_LiEr3Sb2
_chemical_formula_sum 'Li2 Er6 Sb4'
_space_group_name_H-M_alt 'P 1'
_space_group_IT_number 1
_cell_length_a 9.350
_cell_length_b 9.350
_cell_length_c 9.350
_cell_angle_alpha 141.51
_cell_angle_beta 55.36
_cell_angle_gamma 141.78
loop_
_space_group_symop_operation_xyz
'x,y,z'
loop_
_atom_site_label
_atom_site_type_symbol
_atom_site_fract_x
_atom_site_fract_y
_atom_site_fract_z
Li1 Li 0.250 0.250 0.000
Li2 Li 0.750 0.750 0.000
Er1 Er 0.177 0.749 0.926
Er2 Er 0.250 0.750 0.500
Er3 Er 0.323 0.249 0.572
Er4 Er 0.677 0.751 0.428
Er5 Er 0.750 0.250 0.500
Er6 Er 0.823 0.251 0.074
Sb1 Sb 0.137 0.246 0.383
Sb2 Sb 0.363 0.746 0.109
Sb3 Sb 0.637 0.254 0.891
Sb4 Sb 0.863 0.754 0.617
```

Summary:
Its crystal system is orthorhombic. For the total magnetization, the calculation gives 0.00 μB per cell. The energy relative to the elements, uncorrected is -0.709 eV/atom. Its symmetry is No. 72.



10.
VASP calculation (PBE) on an optimized crystal structure of Li3ErSb2.

Geometry as CIF:
```
data_Li3ErSb2
_chemical_formula_sum 'Li9 Er3 Sb6'
_space_group_name_H-M_alt 'P 1'
_space_group_IT_number 1
_cell_length_a 8.939
_cell_length_b 8.939
_cell_length_c 10.717
_cell_angle_alpha 100.94
_cell_angle_beta 100.94
_cell_angle_gamma 27.67
loop_
_space_group_symop_operation_xyz
'x,y,z'
loop_
_atom_site_label
_atom_site_type_symbol
_atom_site_fract_x
_atom_site_fract_y
_atom_site_fract_z
Li1 Li 0.000 0.000 0.000
Li2 Li 0.120 0.120 0.732
Li3 Li 0.183 0.183 0.489
Li4 Li 0.292 0.292 0.093
Li5 Li 0.453 0.453 0.160
Li6 Li 0.547 0.547 0.840
Li7 Li 0.708 0.708 0.907
Li8 Li 0.817 0.817 0.511
Li9 Li 0.880 0.880 0.268
Er1 Er 0.331 0.331 0.778
Er2 Er 0.500 0.500 0.500
Er3 Er 0.669 0.669 0.222
Sb1 Sb 0.047 0.047 0.311
Sb2 Sb 0.143 0.143 0.001
Sb3 Sb 0.306 0.306 0.351
Sb4 Sb 0.694 0.694 0.649
Sb5 Sb 0.857 0.857 0.999
Sb6 Sb 0.953 0.953 0.689
```

Summary:
Its crystal system is monoclinic. For the total magnetization, the calculation gives 0.00 μB per cell. The energy relative to the elements, uncorrected is -0.691 eV/atom. Its symmetry is No. 12.



11.
VASP calculation (PBE) on an optimized crystal structure of LiErSb.

Geometry as CIF:
```
data_LiErSb
_chemical_formula_sum 'Li6 Er6 Sb6'
_space_group_name_H-M_alt 'P 1'
_space_group_IT_number 1
_cell_length_a 7.336
_cell_length_b 4.368
_cell_length_c 12.816
_cell_angle_alpha 90.00
_cell_angle_beta 90.53
_cell_angle_gamma 90.00
loop_
_space_group_symop_operation_xyz
'x,y,z'
loop_
_atom_site_label
_atom_site_type_symbol
_atom_site_fract_x
_atom_site_fract_y
_atom_site_fract_z
Li1 Li 0.005 0.250 0.094
Li2 Li 0.161 0.250 0.452
Li3 Li 0.356 0.750 0.804
Li4 Li 0.644 0.250 0.196
Li5 Li 0.839 0.750 0.548
Li6 Li 0.995 0.750 0.906
Er1 Er 0.021 0.250 0.698
Er2 Er 0.346 0.750 0.076
Er3 Er 0.482 0.750 0.377
Er4 Er 0.518 0.250 0.623
Er5 Er 0.654 0.250 0.924
Er6 Er 0.979 0.750 0.302
Sb1 Sb 0.227 0.250 0.911
Sb2 Sb 0.230 0.750 0.573
Sb3 Sb 0.272 0.250 0.246
Sb4 Sb 0.728 0.750 0.754
Sb5 Sb 0.770 0.250 0.427
Sb6 Sb 0.773 0.750 0.089
```

Summary:
Its crystal system is monoclinic. The distance to the lowest polymorph of the same formula is 0.00 kcal/mol of atoms. For the total magnetization, the calculation gives 0.00 μB per cell. The energy relative to the elements, uncorrected is -0.775 eV/atom. Its symmetry is No. 11.



12.
VASP calculation (PBE) on an optimized crystal structure of LiEr2Sb.

Geometry as CIF:
```
data_LiEr2Sb
_chemical_formula_sum 'Li1 Er2 Sb1'
_space_group_name_H-M_alt 'P 1'
_space_group_IT_number 1
_cell_length_a 4.826
_cell_length_b 4.826
_cell_length_c 4.224
_cell_angle_alpha 90.00
_cell_angle_beta 90.00
_cell_angle_gamma 90.00
loop_
_space_group_symop_operation_xyz
'x,y,z'
loop_
_atom_site_label
_atom_site_type_symbol
_atom_site_fract_x
_atom_site_fract_y
_atom_site_fract_z
Li1 Li 0.000 0.000 0.000
Er1 Er 0.000 0.500 0.500
Er2 Er 0.500 0.000 0.500
Sb1 Sb 0.500 0.500 0.000
```

Summary:
Its crystal system is tetragonal. The distance to the lowest polymorph of the same formula is 0.00 kcal/mol of atoms. For the total magnetization, the calculation gives 0.00 μB per cell. The energy relative to the elements, uncorrected is -0.491 eV/atom. Its symmetry is No. 123.